DFT (PBE-GGA) results for PaHgBr3 after structural relaxation.

## Properties
- raw total energy (eV per atom) = -4.00
- distance to the lowest polymorph of the same formula (kJ per mole of atoms) = 0.0
- raw formation energy (kJ/mol of formula units) = -498.8
- space-group type = R-3 (148)

a b c (Å): 6.874 6.874 11.303
angles (deg): 72.30 72.30 60.00
Last column: magnetic moment on the atom in μB.
Fractional positions:
Br (0.556, 0.222, 0.334)  -0.02
Br (0.778, 0.112, 0.666)  -0.02
Br (0.888, 0.556, 0.334)  -0.02
Br (0.112, 0.444, 0.666)  -0.02
Br (0.444, 0.778, 0.666)  -0.02
Br (0.222, 0.888, 0.334)  -0.02
Hg (0.334, 0.334, 0.998)  0.00
Hg (0.666, 0.666, 0.002)  0.00
Pa (0.167, 0.167, 0.500)  1.66
Pa (0.833, 0.833, 0.500)  1.66